No. 1
VASP calculation (PBE) on a relaxed structure of Sm2Co. Values from VASP.

```
&SYSTEM
  ibrav = 0, nat = 3, ntyp = 2
/
ATOMIC_SPECIES
Co 58.93 Co.upf
Sm 150.36 Sm.upf
ATOMIC_POSITIONS crystal
Co 0.505 0.001 0.494
Sm 0.253 0.506 0.736
Sm 0.758 0.495 0.253
CELL_PARAMETERS angstrom
-0.083 -2.604 -3.084
3.334 -2.018 -1.027
0.785 -4.778 4.010
```

Values from the calculation:
Crystal system: monoclinic
M_tot (μB per cell): 0.00
E_form (meV per atom): -42.7
Symmetry: C2/m, No. 12

No. 2
VASP calculation (PBE) on a relaxed structure of Sm4Co. Values from VASP.

```
&SYSTEM
  ibrav = 0, nat = 5, ntyp = 2
/
ATOMIC_SPECIES
Co 58.93 Co.upf
Sm 150.36 Sm.upf
ATOMIC_POSITIONS crystal
Co 0.500 0.500 0.500
Sm 0.500 0.500 0.000
Sm 0.000 0.000 0.000
Sm 0.000 0.500 0.500
Sm 0.500 0.000 0.500
CELL_PARAMETERS angstrom
5.396 0.000 0.000
0.000 5.396 0.000
0.000 0.000 5.396
```

Values from the calculation:
Energy relative to the lowest polymorph listed for this composition (meV/atom): 65
Crystal system: cubic
M_tot (μB per cell): 1.15
E_form (meV per atom): 60.2
Symmetry: Pm-3m, No. 221

No. 3
VASP calculation (PBE) on a relaxed structure of Sm7Co3. Values from VASP.

```
&SYSTEM
  ibrav = 0, nat = 20, ntyp = 2
/
ATOMIC_SPECIES
Sm 150.36 Sm.upf
Co 58.93 Co.upf
ATOMIC_POSITIONS crystal
Sm 0.153 0.667 0.333
Sm 0.115 0.081 0.541
Sm 0.615 0.541 0.459
Sm 0.436 0.750 0.875
Sm 0.436 0.125 0.250
Sm 0.615 0.919 0.459
Sm 0.615 0.541 0.081
Sm 0.936 0.875 0.125
Sm 0.115 0.459 0.541
Sm 0.115 0.459 0.919
Sm 0.936 0.250 0.125
Sm 0.653 0.333 0.667
Sm 0.436 0.125 0.875
Sm 0.936 0.875 0.750
Co 0.367 0.377 0.189
Co 0.367 0.811 0.189
Co 0.367 0.811 0.623
Co 0.867 0.189 0.377
Co 0.867 0.623 0.811
Co 0.867 0.189 0.811
CELL_PARAMETERS angstrom
6.237 0.000 0.000
0.000 8.467 -4.888
0.000 0.000 9.776
```

Values from the calculation:
Crystal system: hexagonal
M_tot (μB per cell): 0.00
E_form (meV per atom): -84.9
Symmetry: P6_3mc, No. 186

No. 4
VASP calculation (PBE) on a relaxed structure of Sm2Co17. Values from VASP.

```
&SYSTEM
  ibrav = 0, nat = 19, ntyp = 2
/
ATOMIC_SPECIES
Co 58.93 Co.upf
Sm 150.36 Sm.upf
ATOMIC_POSITIONS crystal
Co 0.500 0.000 0.000
Co 0.714 0.000 0.286
Co 0.096 0.096 0.096
Co 0.149 0.656 0.656
Co 0.286 0.000 0.714
Co 0.656 0.149 0.656
Co 0.344 0.344 0.851
Co 0.714 0.286 0.000
Co 0.656 0.656 0.149
Co 0.286 0.714 0.000
Co 0.000 0.286 0.714
Co 0.851 0.344 0.344
Co 0.904 0.904 0.904
Co 0.000 0.000 0.500
Co 0.000 0.500 0.000
Co 0.344 0.851 0.344
Co 0.000 0.714 0.286
Sm 0.656 0.656 0.656
Sm 0.344 0.344 0.344
CELL_PARAMETERS angstrom
-5.437 -3.171 -0.024
2.135 -5.188 2.854
-1.804 1.544 5.829
```

Values from the calculation:
Crystal system: trigonal
M_tot (μB per cell): 25.06
E_form (meV per atom): -72.7
Symmetry: R-3m, No. 166

No. 5
VASP calculation (PBE) on a relaxed structure of Sm5Co6. Values from VASP.

```
&SYSTEM
  ibrav = 0, nat = 11, ntyp = 2
/
ATOMIC_SPECIES
Sm 150.36 Sm.upf
Co 58.93 Co.upf
ATOMIC_POSITIONS crystal
Sm 0.500 0.195 0.390
Sm 0.000 0.385 0.771
Sm 0.500 0.805 0.610
Sm 0.000 0.000 0.000
Sm 0.000 0.615 0.229
Co 0.500 0.458 0.917
Co 0.000 0.730 0.460
Co 0.000 0.270 0.540
Co 0.500 0.082 0.164
Co 0.500 0.542 0.083
Co 0.500 0.918 0.836
CELL_PARAMETERS angstrom
-1.128 3.893 0.947
-1.444 0.466 -3.633
-11.497 -4.811 6.085
```

Values from the calculation:
Crystal system: orthorhombic
M_tot (μB per cell): 1.40
E_form (meV per atom): -122.7
Symmetry: Cmmm, No. 65

No. 6
VASP calculation (PBE) on a relaxed structure of Sm5Co2. Values from VASP.

```
&SYSTEM
  ibrav = 0, nat = 14, ntyp = 2
/
ATOMIC_SPECIES
Sm 150.36 Sm.upf
Co 58.93 Co.upf
ATOMIC_POSITIONS crystal
Sm 0.783 0.645 0.183
Sm 0.432 0.568 0.750
Sm 0.800 0.010 0.914
Sm 0.990 0.200 0.586
Sm 0.568 0.432 0.250
Sm 0.010 0.800 0.414
Sm 0.645 0.783 0.683
Sm 0.355 0.217 0.317
Sm 0.217 0.355 0.817
Sm 0.200 0.990 0.086
Co 0.180 0.598 0.073
Co 0.402 0.820 0.427
Co 0.598 0.180 0.573
Co 0.820 0.402 0.927
CELL_PARAMETERS angstrom
8.833 0.007 -0.003
6.496 5.985 -0.003
0.736 0.288 6.969
```

Values from the calculation:
Crystal system: monoclinic
M_tot (μB per cell): 0.00
E_form (meV per atom): -106.5
Symmetry: C2/c, No. 15

No. 7
VASP calculation (PBE) on a relaxed structure of Sm4Co. Values from VASP.

```
&SYSTEM
  ibrav = 0, nat = 10, ntyp = 2
/
ATOMIC_SPECIES
Sm 150.36 Sm.upf
Co 58.93 Co.upf
ATOMIC_POSITIONS crystal
Sm 0.028 0.240 0.666
Sm 0.526 0.241 0.665
Sm 0.518 0.260 0.166
Sm 0.017 0.259 0.165
Sm 0.441 0.741 0.835
Sm 0.933 0.760 0.334
Sm 0.944 0.740 0.834
Sm 0.432 0.759 0.335
Co 0.983 0.000 0.000
Co 0.233 0.500 0.500
CELL_PARAMETERS angstrom
6.553 0.000 3.536
3.276 6.299 1.768
0.146 0.000 7.569
```

Values from the calculation:
Energy relative to the lowest polymorph listed for this composition (meV/atom): 0
Crystal system: orthorhombic
M_tot (μB per cell): 0.00
E_form (meV per atom): -4.8
Symmetry: Fdd2, No. 43

No. 8
VASP calculation (PBE) on a relaxed structure of Sm3Co. Values from VASP.

```
&SYSTEM
  ibrav = 0, nat = 4, ntyp = 2
/
ATOMIC_SPECIES
Sm 150.36 Sm.upf
Co 58.93 Co.upf
ATOMIC_POSITIONS crystal
Sm 0.691 0.097 0.381
Sm 0.309 0.716 0.619
Sm 0.500 0.401 0.000
Co 0.000 0.954 0.000
CELL_PARAMETERS angstrom
-2.409 1.802 2.005
-1.722 -4.795 2.240
5.715 2.016 1.795
```

Values from the calculation:
Crystal system: orthorhombic
M_tot (μB per cell): 0.00
E_form (meV per atom): 6.2
Symmetry: Imm2, No. 44